Material: BaPa4Co3O12
Method: DFT, PBE with a Hubbard U
State: relaxed

Unit cell a=7.2346 b=7.2346 c=7.2346 alpha=109.47 beta=109.47 gamma=109.47
With the nearest neighbours (Å) after each atom.
Atoms (fractional coordinates):
Ba (0.0000, 0.0000, 0.0000)  12 O 2.90
Pa (0.0000, 0.0000, 0.5000)  6 O 2.22
Pa (0.0000, 0.5000, 0.0000)  6 O 2.22
Pa (0.5000, 0.0000, 0.0000)  6 O 2.22
Pa (0.5000, 0.5000, 0.5000)  6 O 2.22
Co (0.0000, 0.5000, 0.5000)  4 O 2.21
Co (0.5000, 0.0000, 0.5000)  4 O 2.21
Co (0.5000, 0.5000, 0.0000)  4 O 2.21
O (0.1266, 0.8263, 0.3003)  1 Co 2.21, 2 Pa 2.22
O (0.1737, 0.3003, 0.4740)  1 Co 2.21, 2 Pa 2.22
O (0.1737, 0.6997, 0.8734)  1 Co 2.21, 2 Pa 2.22
O (0.3003, 0.1266, 0.8263)  1 Co 2.21, 2 Pa 2.22
O (0.3003, 0.4740, 0.1737)  1 Co 2.21, 2 Pa 2.22
O (0.4740, 0.1737, 0.3003)  1 Co 2.21, 2 Pa 2.22
O (0.5260, 0.8263, 0.6997)  1 Co 2.21, 2 Pa 2.22
O (0.6997, 0.5260, 0.8263)  1 Co 2.21, 2 Pa 2.22
O (0.6997, 0.8734, 0.1737)  1 Co 2.21, 2 Pa 2.22
O (0.8263, 0.3003, 0.1266)  1 Co 2.21, 2 Pa 2.22
O (0.8263, 0.6997, 0.5260)  1 Co 2.21, 2 Pa 2.22
O (0.8734, 0.1737, 0.6997)  1 Co 2.21, 2 Pa 2.22

## Properties
Size of the total moment ... 7.1 μB/f.u.
Electronic total energy ... -8.395 eV per atom